1.
The following is a PBE calculation of MgAgAs2 after structural relaxation, from the Alexandria database.

## Properties
Symmetry ... Pmm2
Formation energy from the elements ... -13 kJ/mol of formula units

a = 3.131 Å, b = 4.553 Å, c = 5.571 Å
α = 90.00°, β = 90.00°, γ = 90.00°
Atoms (fractional coordinates):
Ag 0.500 0.500 0.860
Mg 0.000 0.000 0.392
As 0.500 0.500 0.357
As 0.000 0.000 0.891

---

2.
The following is a PBE calculation of Tb4CeNdSm2 after structural relaxation, from the Alexandria database.

## Properties
Symmetry ... P2/m
Formation energy from the elements ... 32 kJ/mol of formula units

a = 3.589 Å, b = 11.859 Å, c = 6.225 Å
α = 79.85°, β = 90.00°, γ = 90.00°
Each line ends with the local moment (μB).
Atoms (fractional coordinates):
Tb 0.000 0.750 0.746  0.00
Tb 0.500 0.252 0.746  0.01
Tb 0.500 0.748 0.254  0.01
Tb 0.000 0.250 0.254  0.00
Ce 0.000 0.500 0.500  0.71
Sm 0.500 0.000 0.500  0.00
Sm 0.000 0.000 0.000  -0.01
Nd 0.500 0.500 0.000  0.00

---

3.
The following is a PBE calculation of LaPmRe after structural relaxation, from the Alexandria database.

## Properties
Symmetry ... C2/m
Formation energy from the elements ... 44 kJ/mol of formula units

a = 4.193 Å, b = 6.267 Å, c = 7.336 Å
α = 99.38°, β = 106.61°, γ = 90.00°
Atoms (fractional coordinates):
Re 0.257 0.904 0.514
Re 0.743 0.096 0.486
La 0.156 0.345 0.312
La 0.844 0.655 0.688
Pm 0.430 0.217 0.859
Pm 0.570 0.783 0.141